Entry one
A plane-wave DFT calculation with PBE-GGA was carried out for an optimized crystal structure of HfRuSe2.

a b c (Å): 8.7643 8.7643 8.7643
angles (deg): 21.82 21.82 21.82
Element x y z (fractional)
1 Ru 0.5000 0.5000 0.5000
2 Hf 0.0000 0.0000 0.0000
3 Se 0.8969 0.8969 0.8969
4 Se 0.1031 0.1031 0.1031



Entry two
A plane-wave DFT calculation with PBE-GGA was carried out for an optimized crystal structure of HfRuSe2.

a b c (Å): 4.5897 4.5897 4.5897
angles (deg): 60.00 60.00 60.00
Element x y z (fractional)
1 Ru 0.0000 0.0000 0.0000
2 Hf 0.5000 0.5000 0.5000
3 Se 0.2500 0.2500 0.2500
4 Se 0.7500 0.7500 0.7500



Which is the most stable structure? entry two is the most stable.



Entry one
A plane-wave DFT calculation with PBE-GGA was carried out for an optimized crystal structure of HfRuSe2.

a b c (Å): 8.6319 8.6319 8.6319
angles (deg): 22.47 22.47 22.47
Element x y z (fractional)
1 Ru 0.0000 0.0000 0.0000
2 Hf 0.5000 0.5000 0.5000
3 Se 0.9052 0.9052 0.9052
4 Se 0.0948 0.0948 0.0948



Entry two
A plane-wave DFT calculation with PBE-GGA was carried out for an optimized crystal structure of HfRuSe2.

a b c (Å): 4.6294 4.6294 8.3841
angles (deg): 73.97 73.97 90.00
Element x y z (fractional)
1 Ru 0.5000 0.5000 0.0000
2 Ru 0.2500 0.7500 0.5000
3 Hf 0.0000 0.0000 0.0000
4 Hf 0.7500 0.2500 0.5000
5 Se 0.5963 0.1250 0.2500
6 Se 0.1537 0.6250 0.2500
7 Se 0.3750 0.4037 0.7500
8 Se 0.8750 0.8463 0.7500



Which is the most stable structure? entry two is the most stable.